Entry 1:
This record from Alexandria via LeMat-Bulk describes an optimized crystal structure of GaNiTe2N. The functional is PBE.

abc: 5.5045 5.5045 3.4162
angles: 90.00 90.00 90.00
With the nearest neighbours (Å) after each atom.
Sites, in units of the cell vectors:
Te (0.5000, 0.0000, 0.0000)  2 Ni 2.75
Te (0.0000, 0.5000, 0.0000)  2 Ni 2.75
N (0.0000, 0.0000, 0.5000)  2 Ni 1.71
Ga (0.5000, 0.5000, 0.5000)  8 Te 3.24, 2 Ga 3.42
Ni (0.0000, 0.0000, 0.0000)  2 N 1.71

Density of states at the Fermi level: 0.588 states/eV per atom
Energy relative to the elements, uncorrected: 353 meV/atom
Energy above the most stable polymorph in this dataset: 0.0000 eV/atom
Crystal system: tetragonal
M_tot: 0.0 μB/f.u.

=====

Entry 2:
This record from Alexandria via LeMat-Bulk describes an optimized crystal structure of AlRh2Au. The functional is PBE.

abc: 4.6080 4.6080 4.6080
angles: 127.11 127.11 78.07
With the nearest neighbours (Å) after each atom.
Sites, in units of the cell vectors:
Rh (0.0000, 0.0000, 0.0000)  4 Au 2.72, 4 Al 2.72, 4 Rh 2.90
Rh (0.5000, 0.5000, 0.0000)  4 Al 2.72, 4 Au 2.72, 4 Rh 2.90
Au (0.7500, 0.2500, 0.5000)  8 Rh 2.72, 4 Al 2.90
Al (0.2500, 0.7500, 0.5000)  8 Rh 2.72, 4 Au 2.90

Density of states at the Fermi level: 1.356 states/eV per atom
Crystal system: tetragonal
ΔH_f (0 K): -0.3445 eV per atom
M_tot: 0.0 μB/f.u.

=====

Entry 3:
This record from Alexandria via LeMat-Bulk describes an optimized crystal structure of CsAuS2Cl. The functional is PBE.

abc: 5.5193 5.5193 6.3070
angles: 90.00 90.00 90.00
With the nearest neighbours (Å) after each atom.
Sites, in units of the cell vectors:
Cl (0.0000, 0.0000, 0.5000)  2 Cs 3.15
S (0.5000, 0.0000, 0.0000)  2 Cs 2.76
S (0.0000, 0.5000, 0.0000)  2 Cs 2.76
Au (0.5000, 0.5000, 0.5000)  4 Cl 3.90, 8 S 4.19
Cs (0.0000, 0.0000, 0.0000)  4 S 2.76

Density of states at the Fermi level: 1.412 states/eV per atom
Energy relative to the elements, uncorrected: 1100 meV/atom
Energy above the most stable polymorph in this dataset: 1.3381 eV/atom
Crystal system: tetragonal
M_tot: 1.1 μB/f.u.

=====

Entry 4:
This record from Alexandria via LeMat-Bulk describes an optimized crystal structure of YMn17Ir. The functional is PBE.

abc: 6.1866 6.1866 6.1866
angles: 82.32 82.32 82.32
With the nearest neighbours (Å) after each atom.
Sites, in units of the cell vectors:
Mn (0.9842, 0.9842, 0.5053)  10 Mn 2.33-2.56
Mn (0.9053, 0.9053, 0.9053)  4 Mn 2.30-2.45
Mn (0.3429, 0.8907, 0.3429)  9 Mn 2.34-2.57
Mn (0.2900, 0.6976, 0.0147)  5 Mn 2.24-2.46
Mn (0.6976, 0.2900, 0.0147)  5 Mn 2.24-2.46
Mn (0.5053, 0.9842, 0.9842)  10 Mn 2.33-2.56
Mn (0.9842, 0.5053, 0.9842)  10 Mn 2.33-2.56
Mn (0.0147, 0.6976, 0.2900)  5 Mn 2.24-2.46
Mn (0.0960, 0.0960, 0.0960)  7 Mn 2.30-2.56
Mn (0.6410, 0.1702, 0.6410)  8 Mn 2.38-2.60
Mn (0.6976, 0.0147, 0.2900)  5 Mn 2.24-2.46
Mn (0.1702, 0.6410, 0.6410)  8 Mn 2.38-2.60
Mn (0.3429, 0.3429, 0.8907)  9 Mn 2.34-2.57
Mn (0.8907, 0.3429, 0.3429)  9 Mn 2.34-2.57
Mn (0.2900, 0.0147, 0.6976)  5 Mn 2.24-2.46
Mn (0.6410, 0.6410, 0.1702)  8 Mn 2.38-2.60
Mn (0.0147, 0.2900, 0.6976)  5 Mn 2.24-2.46
Y (0.6528, 0.6528, 0.6528)  19 Mn 2.96-3.18
Ir (0.3389, 0.3389, 0.3389)  13 Mn 2.77-2.93

Density of states at the Fermi level: 1.250 states/eV per atom
Crystal system: trigonal
ΔH_f (0 K): 0.1027 eV per atom
M_tot: 2.7 μB/f.u.

=====

Entry 5:
This record from Alexandria via LeMat-Bulk describes an optimized crystal structure of K2LaIr. The functional is PBE.

abc: 3.1763 3.1763 12.9198
angles: 90.00 90.00 114.20
With the nearest neighbours (Å) after each atom.
Sites, in units of the cell vectors:
K (0.0000, 0.0000, 0.9471)  2 Ir 3.08, 4 K 3.18
K (0.0000, 0.0000, 0.5529)  2 Ir 3.08, 4 K 3.18
La (0.5000, 0.5000, 0.2500)  6 La 3.18-3.45
Ir (0.5000, 0.5000, 0.7500)  4 K 3.08, 4 Ir 3.18

Density of states at the Fermi level: 1.746 states/eV per atom
Energy above the most stable polymorph in this dataset: 0.9730 eV/atom
Crystal system: orthorhombic
ΔH_f (0 K): 0.8925 eV per atom
M_tot: 0.5 μB/f.u.